This record from the Open Quantum Materials Database describes a geometry-optimized SrPaNO structure. The functional is PBE.

Calculated values
The value obtained for the total moment is 1.7 μB per formula unit. The calculation puts the relative energy among the computed polymorphs at 97 meV/atom. The value obtained for the volume is 21.2 Å³/atom.

a b c (Å): 6.9876 8.0703 6.0013
angles (deg): 90.00 90.00 90.00
Closest atoms and distances in Å follow each position.
Fractional positions:
N1 0.4058 0.4186 0.1325  3 Pa 2.27-2.35
N2 0.9058 0.5814 0.1325  3 Pa 2.27-2.35
N3 0.0942 0.4186 0.6325  3 Pa 2.27-2.35
N4 0.5942 0.5814 0.6325  3 Pa 2.27-2.35
O1 0.9116 0.1535 0.0649  1 Pa 2.19, 1 Sr 2.43
O2 0.4116 0.8465 0.0649  1 Pa 2.19, 1 Sr 2.43
O3 0.5884 0.1535 0.5649  1 Pa 2.19, 1 Sr 2.43
O4 0.0884 0.8465 0.5649  1 Pa 2.19, 1 Sr 2.43
Pa1 0.0930 0.3708 0.0056  1 O 2.19, 3 N 2.27-2.35
Pa2 0.5930 0.6292 0.0056  1 O 2.19, 3 N 2.27-2.35
Pa3 0.4070 0.3708 0.5056  1 O 2.19, 3 N 2.27-2.35
Pa4 0.9070 0.6292 0.5056  1 O 2.19, 3 N 2.27-2.35
Sr1 0.9297 0.1198 0.4993  3 O 2.43-2.62
Sr2 0.4297 0.8802 0.4993  3 O 2.43-2.62
Sr3 0.5703 0.1198 0.9993  3 O 2.43-2.62
Sr4 0.0703 0.8802 0.9993  3 O 2.43-2.62

***

This record from the Open Quantum Materials Database describes a geometry-optimized SiSbPt structure. The functional is PBE.

Calculated values
As for the energy: -5.693 eV/atom. The value obtained for the total moment is 0.0 μB per formula unit. The value obtained for the volume is 19.8 Å³/atom.

a b c (Å): 6.3920 6.4112 11.5896
angles (deg): 90.00 90.00 90.00
Closest atoms and distances in Å follow each position.
Fractional positions:
Pt1 0.0118 0.1175 0.1067  3 Si 2.42-2.45
Pt2 0.4882 0.6175 0.1067  3 Si 2.42-2.45
Pt3 0.5118 0.1175 0.3933  3 Si 2.42-2.45
Pt4 0.9882 0.6175 0.3933  3 Si 2.42-2.45
Pt5 0.0118 0.3825 0.6067  3 Si 2.42-2.45
Pt6 0.4882 0.8825 0.6067  3 Si 2.42-2.45
Pt7 0.5118 0.3825 0.8933  3 Si 2.42-2.45
Pt8 0.9882 0.8825 0.8933  3 Si 2.42-2.45
Sb1 0.6169 0.0050 0.1727  1 Si 2.63, 3 Pt 2.73-2.74
Sb2 0.8831 0.5050 0.1727  1 Si 2.63, 3 Pt 2.73-2.74
Sb3 0.1169 0.0050 0.3273  1 Si 2.63, 3 Pt 2.73-2.74
Sb4 0.3831 0.5050 0.3273  1 Si 2.63, 3 Pt 2.73-2.74
Sb5 0.6169 0.4950 0.6727  1 Si 2.63, 3 Pt 2.73-2.74
Sb6 0.8831 0.9950 0.6727  1 Si 2.63, 3 Pt 2.73-2.74
Sb7 0.1169 0.4950 0.8273  1 Si 2.63, 3 Pt 2.73-2.74
Sb8 0.3831 0.9950 0.8273  1 Si 2.63, 3 Pt 2.73-2.74
Si1 0.3546 0.2645 0.0738  3 Pt 2.42-2.45, 1 Sb 2.63
Si2 0.1454 0.7645 0.0738  3 Pt 2.42-2.45, 1 Sb 2.63
Si3 0.8546 0.2645 0.4262  3 Pt 2.42-2.45, 1 Sb 2.63
Si4 0.6454 0.7645 0.4262  3 Pt 2.42-2.45, 1 Sb 2.63
Si5 0.3546 0.2355 0.5738  3 Pt 2.42-2.45, 1 Sb 2.63
Si6 0.1454 0.7355 0.5738  3 Pt 2.42-2.45, 1 Sb 2.63
Si7 0.8546 0.2355 0.9262  3 Pt 2.42-2.45, 1 Sb 2.63
Si8 0.6454 0.7355 0.9262  3 Pt 2.42-2.45, 1 Sb 2.63

***

This record from the Open Quantum Materials Database describes a geometry-optimized Cs3Au2 structure. The functional is PBE.

Calculated values
As for the energy: -2.069 eV/atom. The value obtained for the volume is 46.0 Å³/atom.

a b c (Å): 5.8775 5.8775 7.6871
angles (deg): 90.00 90.00 120.00
Closest atoms and distances in Å follow each position.
Fractional positions:
Au1 0.3333 0.6667 0.1798  8 Cs 3.59-3.93
Au2 0.6667 0.3333 0.8202  8 Cs 3.59-3.93
Cs1 0.0000 0.0000 0.0000  6 Au 3.66
Cs2 0.6667 0.3333 0.3321  5 Au 3.59-3.93
Cs3 0.3333 0.6667 0.6679  5 Au 3.59-3.93

***

This record from the Open Quantum Materials Database describes a geometry-optimized Ac structure. The functional is PBE.

Calculated values
The value obtained for the total moment is 0.0 μB per formula unit. The calculation puts the relative energy among the computed polymorphs at 13 meV/atom. The value obtained for the volume is 45.0 Å³/atom. The formation energy from the elements comes out at 0.013 eV per atom.

a b c (Å): 3.9924 3.9924 6.9193
angles (deg): 106.77 73.23 120.00
Closest atoms and distances in Å follow each position.
Fractional positions:
Ac1 0.2499 0.7501 0.2504  12 Ac 3.99-4.00
Ac2 0.7501 0.2499 0.7496  12 Ac 3.99-4.00

***

This record from the Open Quantum Materials Database describes a geometry-optimized YEr2In3CuGe2 structure. The functional is PBE.

Calculated values
As for the energy: -4.621 eV/atom. The value obtained for the total moment is 0.0 μB per formula unit. The value obtained for the volume is 22.1 Å³/atom.

a b c (Å): 4.2151 7.3784 7.3784
angles (deg): 120.09 90.00 90.00
Closest atoms and distances in Å follow each position.
Fractional positions:
Cu1 0.0000 0.0034 0.0034  6 In 2.75-2.78, 2 Er 2.96, 1 Y 2.99
Er1 0.0000 0.9992 0.4023  1 Cu 2.96, 4 Ge 3.07
Er2 0.0000 0.4023 0.9992  1 Cu 2.96, 4 Ge 3.07
Ge1 0.5000 0.6668 0.3309  3 In 2.84-2.86, 4 Er 3.07, 2 Y 3.09
Ge2 0.5000 0.3309 0.6668  3 In 2.84-2.86, 4 Er 3.07, 2 Y 3.09
In1 0.5000 0.2438 0.2438  2 Cu 2.75, 2 Ge 2.85
In2 0.5000 0.9998 0.7568  2 Cu 2.78, 2 Ge 2.84-2.86, 1 In 3.11
In3 0.5000 0.7568 0.9998  2 Cu 2.78, 2 Ge 2.84-2.86, 1 In 3.11
Y1 0.0000 0.5969 0.5969  1 Cu 2.99, 4 Ge 3.09, 6 In 3.34-3.35

***

This record from the Open Quantum Materials Database describes a geometry-optimized Cu5Ag4 structure. The functional is PBE.

Calculated values
The calculation puts the relative energy among the computed polymorphs at 66 meV/atom. The value obtained for the volume is 14.6 Å³/atom. The formation energy from the elements comes out at 0.107 eV per atom.

a b c (Å): 7.2154 7.2154 8.1077
angles (deg): 124.03 124.03 22.19
Closest atoms and distances in Å follow each position.
Fractional positions:
Ag1 0.2136 0.2136 0.3216  5 Cu 2.64-2.70, 6 Ag 2.78-2.82
Ag2 0.8895 0.8895 0.3297  7 Cu 2.68-2.87, 5 Ag 2.75-2.82
Ag3 0.1105 0.1105 0.6703  7 Cu 2.68-2.87, 5 Ag 2.75-2.82
Ag4 0.7864 0.7864 0.6784  5 Cu 2.64-2.70, 6 Ag 2.78-2.82
Cu1 0.0000 0.0000 0.0000  10 Cu 2.61-2.78, 2 Ag 2.64
Cu2 0.3373 0.3373 0.0046  7 Cu 2.57-2.80, 5 Ag 2.68-2.78
Cu3 0.5479 0.5479 0.3121  5 Cu 2.57-2.78, 6 Ag 2.69-2.87
Cu4 0.4521 0.4521 0.6879  5 Cu 2.57-2.78, 6 Ag 2.69-2.87
Cu5 0.6627 0.6627 0.9954  7 Cu 2.57-2.80, 5 Ag 2.68-2.78

***

This record from the Open Quantum Materials Database describes a geometry-optimized CuTcBiSb structure. The functional is PBE.

Calculated values
The value obtained for the total moment is 0.3 μB per formula unit. The calculation puts the relative energy among the computed polymorphs at 0 meV/atom. The value obtained for the volume is 19.2 Å³/atom.

a b c (Å): 4.7740 4.7740 4.7740
angles (deg): 60.00 60.00 60.00
Closest atoms and distances in Å follow each position.
Fractional positions:
Bi1 0.5000 0.5000 0.5000  4 Cu 2.92, 4 Tc 2.92
Cu1 0.7500 0.7500 0.7500  4 Bi 2.92, 4 Sb 2.92
Sb1 0.0000 0.0000 0.0000  4 Tc 2.92, 4 Cu 2.92
Tc1 0.2500 0.2500 0.2500  4 Sb 2.92, 4 Bi 2.92

***

This record from the Open Quantum Materials Database describes a geometry-optimized NpInW structure. The functional is PBE.

Calculated values
The value obtained for the total moment is 2.6 μB per formula unit. The calculation puts the relative energy among the computed polymorphs at 0 meV/atom. The value obtained for the volume is 23.4 Å³/atom.

a b c (Å): 4.6326 4.6326 4.6326
angles (deg): 60.00 60.00 60.00
Closest atoms and distances in Å follow each position.
Fractional positions:
In1 0.0000 0.0000 0.0000  4 W 2.84
Np1 0.5000 0.5000 0.5000  4 W 2.84
W1 0.2500 0.2500 0.2500  4 In 2.84, 4 Np 2.84

***

This record from the Open Quantum Materials Database describes a geometry-optimized AcTcB4 structure. The functional is PBE.

Calculated values
The value obtained for the total moment is 0.0 μB per formula unit. The calculation puts the relative energy among the computed polymorphs at 0 meV/atom. The value obtained for the volume is 11.3 Å³/atom.

a b c (Å): 3.2044 3.2044 7.6450
angles (deg): 90.00 90.00 120.00
Closest atoms and distances in Å follow each position.
Fractional positions:
Ac1 0.0000 0.0000 0.0000  12 B 2.94, 6 Ac 3.20
B1 0.6667 0.3333 0.2993  3 B 1.85
B2 0.3333 0.6667 0.2993  3 B 1.85
B3 0.6667 0.3333 0.7007  3 B 1.85
B4 0.3333 0.6667 0.7007  3 B 1.85
Tc1 0.0000 0.0000 0.5000  12 B 2.40

***

This record from the Open Quantum Materials Database describes a geometry-optimized NdTlFe structure. The functional is PBE.

Calculated values
As for the energy: -4.863 eV/atom. The value obtained for the total moment is 1.9 μB per formula unit. The value obtained for the volume is 25.4 Å³/atom.

a b c (Å): 4.7583 4.7583 4.7583
angles (deg): 60.00 60.00 60.00
Closest atoms and distances in Å follow each position.
Fractional positions:
Fe1 0.0000 0.0000 0.0000  4 Tl 2.91, 4 Nd 2.91
Nd1 0.2500 0.2500 0.2500  4 Fe 2.91
Tl1 0.7500 0.7500 0.7500  4 Fe 2.91

***

- Number 10 is which compound?
  NdTlFe